4
Lattice="1.861 1.074 9.273 -1.861 1.074 9.273 0.000 -2.149 9.273" Properties=species:S:1:pos:R:3 comment="SmHo2S | the Alexandria database | PBE | relaxed" m_tot_mub_per_fu=0.7 relative_energy_ev_per_atom=0.000 raw_formation_energy_mev_per_atom=-942.4 space_group="R3m, No. 160" pbc="T T T"
Sm 0.000 0.000 0.000
Ho 0.000 0.000 6.300
Ho 0.000 0.000 12.226
S 0.000 0.000 23.174



14
Lattice="1.917 -6.451 0.000 1.917 6.451 0.000 0.000 0.000 13.146" Properties=species:S:1:pos:R:3 comment="SmHo2S4 | the Alexandria database | PBE | relaxed" m_tot_mub_per_fu=0.0 relative_energy_ev_per_atom=0.000 raw_formation_energy_mev_per_atom=-2064.1 space_group="Cmcm, No. 63" pbc="T T T"
Sm 1.917 4.836 9.860
Sm 1.917 -4.836 3.287
Ho 1.917 1.675 7.477
Ho 1.917 1.675 12.242
Ho 1.917 -1.675 0.904
Ho 1.917 -1.675 5.669
S 0.000 0.000 0.000
S 0.000 0.000 6.573
S 1.917 2.916 1.579
S 1.917 2.916 4.994
S 1.917 0.444 9.860
S 1.917 -0.444 3.287
S 1.917 -2.916 8.152
S 1.917 -2.916 11.567